No. 1
First-principles (GGA-PBE) data for crystalline HfMgPd3 at its relaxed geometry, as listed in Alexandria.

abc: 4.5530 4.5530 4.5530
angles: 90.00 90.00 90.00
Fractional positions:
Mg (0.0000, 0.0000, 0.0000)
Pd (0.0000, 0.5000, 0.0000)
Pd (0.0000, 0.0000, 0.5000)
Pd (0.5000, 0.0000, 0.0000)
Hf (0.5000, 0.5000, 0.5000)

Summary:
E: -5.21 eV per atom
Spin magnetization: 0.000 μB per formula unit

=====

No. 2
First-principles (GGA-PBE) data for crystalline LiTlGaSn at its relaxed geometry, as listed in Alexandria.

abc: 5.1014 5.1014 5.1014
angles: 60.00 60.00 60.00
Fractional positions:
Li (0.7500, 0.7500, 0.7500)
Ga (0.2500, 0.2500, 0.2500)
Sn (0.5000, 0.5000, 0.5000)
Tl (0.0000, 0.0000, 0.0000)

Summary:
E: -2.88 eV per atom
Spin magnetization: 0.000 μB per formula unit

=====

No. 3
First-principles (GGA-PBE) data for crystalline HfPb2I at its relaxed geometry, as listed in Alexandria.

abc: 5.5042 5.5042 5.5042
angles: 60.00 60.00 60.00
Fractional positions:
Pb (0.7500, 0.7500, 0.7500)
Pb (0.2500, 0.2500, 0.2500)
I (0.0000, 0.0000, 0.0000)
Hf (0.5000, 0.5000, 0.5000)

Summary:
E: -4.16 eV per atom
Energy relative to the elements, uncorrected: 573 meV per atom
Spin magnetization: 0.000 μB per formula unit

=====

No. 4
First-principles (GGA-PBE) data for crystalline BaP2RuS at its relaxed geometry, as listed in Alexandria.

abc: 4.5414 4.5414 5.5185
angles: 90.00 90.00 90.00
Fractional positions:
P (0.0000, 0.5000, 0.0000)
P (0.5000, 0.0000, 0.0000)
Ru (0.0000, 0.0000, 0.0000)
Ba (0.5000, 0.5000, 0.5000)
S (0.0000, 0.0000, 0.5000)

Summary:
E: -5.67 eV per atom
Energy relative to the elements, uncorrected: -446 meV per atom
Spin magnetization: 0.000 μB per formula unit

=====

No. 5
First-principles (GGA-PBE) data for crystalline ScReSn2 at its relaxed geometry, as listed in Alexandria.

abc: 4.7804 4.7804 4.7804
angles: 60.00 60.00 60.00
Fractional positions:
Sc (0.0000, 0.0000, 0.0000)
Sn (0.7500, 0.7500, 0.7500)
Sn (0.2500, 0.2500, 0.2500)
Re (0.5000, 0.5000, 0.5000)

Summary:
E: -6.71 eV per atom
Spin magnetization: 0.000 μB per formula unit

=====

No. 6
First-principles (GGA-PBE) data for crystalline ZrFe2W at its relaxed geometry, as listed in Alexandria.

abc: 4.9454 5.4457 2.7659
angles: 77.06 81.00 119.21
Site moments in Bohr magnetons follow the coordinates.
Fractional positions:
Fe (0.0000, 0.5000, 0.5000)  1.92
Fe (0.0000, 0.0000, 0.0000)  1.92
Zr (0.5000, 0.0000, 0.5000)  -0.25
W (0.5000, 0.5000, 0.0000)  -0.16

Summary:
E: -9.41 eV per atom
Spin magnetization: 3.283 μB per formula unit

=====

No. 7
First-principles (GGA-PBE) data for crystalline Nd6ScAg5 at its relaxed geometry, as listed in Alexandria.

abc: 5.3372 7.4818 8.5545
angles: 90.00 108.23 90.00
Fractional positions:
Nd (0.8279, 0.2460, 0.6565)
Nd (0.1721, 0.2460, 0.3434)
Nd (0.5000, 0.7366, 0.0000)
Nd (0.5000, 0.2634, 0.0000)
Nd (0.1721, 0.7540, 0.3435)
Nd (0.8279, 0.7540, 0.6566)
Ag (0.6483, 0.0000, 0.2966)
Ag (0.0000, 0.5000, 0.0000)
Ag (0.6687, 0.5000, 0.3364)
Ag (0.3313, 0.5000, 0.6636)
Ag (0.3517, 0.0000, 0.7034)
Sc (0.0000, 0.0000, 0.0000)

Summary:
E: -4.28 eV per atom
Spin magnetization: 0.000 μB per formula unit

=====

Question: Look up the E of the fourth one.
Answer: -5.67 eV per atom

=====

Question: The lowest E belongs to which entry?
Answer: ZrFe2W

=====

Question: The lowest E belongs to which entry?
Answer: ZrFe2W